--- P ---
# SbTe2SeO

Crystalline SbTe2SeO at its relaxed geometry (PBE-GGA, Alexandria via LeMat-Bulk).

Lattice parameters (Å, degrees): 4.781 4.781 5.047 90.00 90.00 90.00
Positions (direct):
Sb1 0.000 0.000 0.500
Se1 0.500 0.500 0.500
O1 0.000 0.000 0.000
Te1 0.500 0.000 0.000
Te2 0.000 0.500 0.000

D(E_F) = 0.628 states/eV per atom

--- Q ---
# SbTe2SeO

Crystalline SbTe2SeO at its relaxed geometry (PBE-GGA, Alexandria via LeMat-Bulk).

Lattice parameters (Å, degrees): 5.387 5.387 5.449 90.00 90.00 90.00
Positions (direct):
Te1 0.000 0.500 0.000
Te2 0.500 0.000 0.000
Se1 0.000 0.000 0.000
Sb1 0.000 0.000 0.500
O1 0.500 0.500 0.500

D(E_F) = 2.132 states/eV per atom

Which one sits at the bottom of the stability order? Q does.

--- P ---
# Si3SbO

Crystalline Si3SbO at its relaxed geometry (PBE-GGA, Alexandria via LeMat-Bulk).

Lattice parameters (Å, degrees): 4.381 4.381 4.381 90.00 90.00 90.00
Positions (direct):
Sb1 0.500 0.500 0.500
Si1 0.000 0.500 0.000
Si2 0.500 0.000 0.000
Si3 0.000 0.000 0.500
O1 0.000 0.000 0.000

D(E_F) = 0.600 states/eV per atom

--- Q ---
# Si3SbO

Crystalline Si3SbO at its relaxed geometry (PBE-GGA, Alexandria via LeMat-Bulk).

Lattice parameters (Å, degrees): 5.219 5.219 5.219 90.00 90.00 90.00
Positions (direct):
Sb1 0.000 0.000 0.000
Si1 0.000 0.500 0.000
Si2 0.500 0.000 0.000
Si3 0.000 0.000 0.500
O1 0.500 0.500 0.500

D(E_F) = 2.108 states/eV per atom

Which one sits at the bottom of the stability order? Q does.

--- P ---
# Sm4Sb2O

Crystalline Sm4Sb2O at its relaxed geometry (PBE-GGA, Alexandria via LeMat-Bulk).

Lattice parameters (Å, degrees): 6.688 6.733 9.044 90.00 108.45 90.00
Positions (direct):
Sm1 0.476 0.501 0.708
Sm2 0.524 0.001 0.292
Sm3 0.848 0.250 0.056
Sm4 0.152 0.750 0.944
Sm5 0.071 0.750 0.351
Sm6 0.476 0.999 0.708
Sm7 0.524 0.499 0.292
Sm8 0.929 0.250 0.649
Sb1 0.298 0.250 0.969
Sb2 0.815 0.750 0.593
Sb3 0.185 0.250 0.407
Sb4 0.702 0.750 0.031
O1 0.291 0.750 0.206
O2 0.709 0.250 0.794

D(E_F) = 0.882 states/eV per atom

--- Q ---
# Sm4Sb2O

Crystalline Sm4Sb2O at its relaxed geometry (PBE-GGA, Alexandria via LeMat-Bulk).

Lattice parameters (Å, degrees): 4.644 4.644 9.137 75.28 75.28 90.00
Positions (direct):
Sm1 0.175 0.175 0.650
Sm2 0.825 0.825 0.350
Sm3 0.500 0.000 0.000
Sm4 0.000 0.500 0.000
Sb1 0.361 0.361 0.278
Sb2 0.639 0.639 0.722
O1 0.000 0.000 0.000

D(E_F) = 0.666 states/eV per atom

Which one sits at the bottom of the stability order? P does.

--- P ---
# Sm2SbO

Crystalline Sm2SbO at its relaxed geometry (PBE-GGA, Alexandria via LeMat-Bulk).

Lattice parameters (Å, degrees): 4.576 4.576 8.976 90.01 90.01 90.00
Positions (direct):
Sm1 0.750 0.250 0.500
Sm2 0.750 0.750 0.844
Sm3 0.250 0.750 0.500
Sm4 0.250 0.250 0.156
Sb1 0.250 0.250 0.798
Sb2 0.750 0.750 0.202
O1 0.750 0.750 0.578
O2 0.250 0.250 0.422

D(E_F) = 0.388 states/eV per atom

--- Q ---
# Sm2SbO

Crystalline Sm2SbO at its relaxed geometry (PBE-GGA, Alexandria via LeMat-Bulk).

Lattice parameters (Å, degrees): 3.829 3.830 8.307 62.57 62.57 60.05
Positions (direct):
Sm1 0.217 0.650 0.606
Sm2 0.131 0.563 0.234
O1 0.674 0.107 0.420
Sb1 0.674 0.107 0.920

D(E_F) = 0.632 states/eV per atom

Which one sits at the bottom of the stability order? Q does.

--- P ---
# Sn3SbO

Crystalline Sn3SbO at its relaxed geometry (PBE-GGA, Alexandria via LeMat-Bulk).

Lattice parameters (Å, degrees): 4.945 4.945 4.945 90.00 90.00 90.00
Positions (direct):
Sn1 0.500 0.000 0.000
Sn2 0.000 0.500 0.000
Sn3 0.000 0.000 0.500
Sb1 0.500 0.500 0.500
O1 0.000 0.000 0.000

D(E_F) = 0.462 states/eV per atom

--- Q ---
# Sn3SbO

Crystalline Sn3SbO at its relaxed geometry (PBE-GGA, Alexandria via LeMat-Bulk).

Lattice parameters (Å, degrees): 5.767 5.767 5.767 90.00 90.00 90.00
Positions (direct):
Sn1 0.000 0.000 0.500
Sn2 0.000 0.500 0.000
Sn3 0.500 0.000 0.000
Sb1 0.000 0.000 0.000
O1 0.500 0.500 0.500

D(E_F) = 1.044 states/eV per atom

Which one sits at the bottom of the stability order? Q does.

--- P ---
# SnSbO2

Crystalline SnSbO2 at its relaxed geometry (PBE-GGA, Alexandria via LeMat-Bulk).

Lattice parameters (Å, degrees): 5.501 5.501 6.655 65.59 65.59 90.00
Positions (direct):
O1 0.375 0.340 0.750
O2 0.875 0.910 0.750
O3 0.660 0.125 0.250
O4 0.090 0.625 0.250
Sn1 0.250 0.750 0.500
Sn2 0.500 0.500 0.000
Sb1 0.000 0.000 0.000
Sb2 0.750 0.250 0.500

D(E_F) = 0.388 states/eV per atom

--- Q ---
# SnSbO2

Crystalline SnSbO2 at its relaxed geometry (PBE-GGA, Alexandria via LeMat-Bulk).

Lattice parameters (Å, degrees): 7.196 7.196 7.196 27.20 27.20 27.20
Positions (direct):
O1 0.888 0.888 0.888
O2 0.112 0.112 0.112
Sn1 0.500 0.500 0.500
Sb1 0.000 0.000 0.000

D(E_F) = 0.588 states/eV per atom

--- R ---
# SnSbO2

Crystalline SnSbO2 at its relaxed geometry (PBE-GGA, Alexandria via LeMat-Bulk).

Lattice parameters (Å, degrees): 7.347 7.347 7.347 26.90 26.90 26.90
Positions (direct):
Sn1 0.000 0.000 0.000
O1 0.109 0.109 0.109
O2 0.891 0.891 0.891
Sb1 0.500 0.500 0.500

D(E_F) = 0.231 states/eV per atom

--- S ---
# SnSbO2

Crystalline SnSbO2 at its relaxed geometry (PBE-GGA, Alexandria via LeMat-Bulk).

Lattice parameters (Å, degrees): 4.412 4.412 4.412 60.00 60.00 60.00
Positions (direct):
O1 0.750 0.750 0.750
O2 0.250 0.250 0.250
Sb1 0.500 0.500 0.500
Sn1 0.000 0.000 0.000

D(E_F) = 0.408 states/eV per atom

Which one sits at the bottom of the stability order? S does.

--- P ---
# Sn2SbO

Crystalline Sn2SbO at its relaxed geometry (PBE-GGA, Alexandria via LeMat-Bulk).

Lattice parameters (Å, degrees): 4.979 4.979 4.979 60.00 60.00 60.00
Positions (direct):
Sb1 0.500 0.500 0.500
Sn1 0.250 0.250 0.250
Sn2 0.750 0.750 0.750
O1 0.000 0.000 0.000

D(E_F) = 0.811 states/eV per atom

--- Q ---
# Sn2SbO

Crystalline Sn2SbO at its relaxed geometry (PBE-GGA, Alexandria via LeMat-Bulk).

Lattice parameters (Å, degrees): 5.674 5.674 7.819 68.73 68.73 90.00
Positions (direct):
Sb1 0.750 0.250 0.500
Sb2 0.000 0.000 0.000
O1 0.500 0.500 0.000
O2 0.250 0.750 0.500
Sn1 0.234 0.625 0.250
Sn2 0.375 0.484 0.750
Sn3 0.875 0.766 0.750
Sn4 0.516 0.125 0.250

D(E_F) = 0.235 states/eV per atom

Which one sits at the bottom of the stability order? P does.

--- P ---
# SnSbTe2O

Crystalline SnSbTe2O at its relaxed geometry (PBE-GGA, Alexandria via LeMat-Bulk).

Lattice parameters (Å, degrees): 4.940 4.940 4.903 90.00 90.00 90.00
Positions (direct):
Te1 0.500 0.000 0.000
Te2 0.000 0.500 0.000
O1 0.000 0.000 0.000
Sn1 0.500 0.500 0.500
Sb1 0.000 0.000 0.500

D(E_F) = 0.625 states/eV per atom

--- Q ---
# SnSbTe2O

Crystalline SnSbTe2O at its relaxed geometry (PBE-GGA, Alexandria via LeMat-Bulk).

Lattice parameters (Å, degrees): 5.628 5.628 5.748 90.00 90.00 90.00
Positions (direct):
Sn1 0.000 0.000 0.000
Te1 0.500 0.000 0.000
Te2 0.000 0.500 0.000
Sb1 0.000 0.000 0.500
O1 0.500 0.500 0.500

D(E_F) = 2.800 states/eV per atom

Which one sits at the bottom of the stability order? Q does.

--- P ---
# SrSb3O

Crystalline SrSb3O at its relaxed geometry (PBE-GGA, Alexandria via LeMat-Bulk).

Lattice parameters (Å, degrees): 4.944 4.944 4.944 90.00 90.00 90.00
Positions (direct):
Sr1 0.500 0.500 0.500
Sb1 0.000 0.000 0.500
Sb2 0.500 0.000 0.000
Sb3 0.000 0.500 0.000
O1 0.000 0.000 0.000

D(E_F) = 0.560 states/eV per atom

--- Q ---
# SrSb3O

Crystalline SrSb3O at its relaxed geometry (PBE-GGA, Alexandria via LeMat-Bulk).

Lattice parameters (Å, degrees): 6.032 6.032 6.032 90.00 90.00 90.00
Positions (direct):
Sb1 0.000 0.000 0.500
Sb2 0.500 0.000 0.000
Sb3 0.000 0.500 0.000
Sr1 0.000 0.000 0.000
O1 0.500 0.500 0.500

D(E_F) = 10.888 states/eV per atom

Which one sits at the bottom of the stability order? Q does.

--- P ---
# SrSbO4

Crystalline SrSbO4 at its relaxed geometry (PBE-GGA, Alexandria via LeMat-Bulk).

Lattice parameters (Å, degrees): 6.108 7.520 6.153 114.74 105.03 112.83
Site moments in Bohr magnetons follow the coordinates.
Positions (direct):
Sb1 0.236 0.986 0.972  -0.02
Sb2 0.764 0.014 0.028  -0.02
O1 0.159 0.147 0.280  0.08
O2 0.841 0.853 0.720  0.08
O3 0.379 0.866 0.720  0.08
O4 0.104 0.704 0.977  0.34
O5 0.896 0.296 0.023  0.34
O6 0.627 0.727 0.023  0.34
O7 0.621 0.134 0.280  0.08
O8 0.373 0.273 0.977  0.34
Sr1 0.615 0.365 0.731  -0.01
Sr2 0.385 0.635 0.269  -0.01

D(E_F) = 0.719 states/eV per atom

--- Q ---
# SrSbO4

Crystalline SrSbO4 at its relaxed geometry (PBE-GGA, Alexandria via LeMat-Bulk).

Lattice parameters (Å, degrees): 5.598 5.598 7.028 113.47 113.47 90.00
Site moments in Bohr magnetons follow the coordinates.
Positions (direct):
O1 0.567 0.018 0.679  0.22
O2 0.183 0.232 0.821  0.22
O3 0.411 0.817 0.179  0.22
O4 0.112 0.661 0.679  0.22
O5 0.768 0.362 0.179  0.22
O6 0.638 0.589 0.821  0.22
O7 0.339 0.433 0.321  0.22
O8 0.982 0.888 0.321  0.22
Sr1 0.750 0.250 0.500  0.00
Sr2 0.000 0.000 0.000  0.00
Sb1 0.500 0.500 0.000  -0.02
Sb2 0.250 0.750 0.500  -0.02

D(E_F) = 0.583 states/eV per atom

Which one sits at the bottom of the stability order? Q does.

--- P ---
# Sr2SbO4

Crystalline Sr2SbO4 at its relaxed geometry (PBE-GGA, Alexandria via LeMat-Bulk).

Lattice parameters (Å, degrees): 4.197 4.197 7.078 72.76 72.76 90.00
Positions (direct):
Sr1 0.353 0.353 0.293
Sr2 0.647 0.647 0.707
Sb1 0.000 0.000 0.000
O1 0.000 0.500 0.000
O2 0.833 0.833 0.335
O3 0.167 0.167 0.665
O4 0.500 0.000 0.000

D(E_F) = 0.282 states/eV per atom

--- Q ---
# Sr2SbO4

Crystalline Sr2SbO4 at its relaxed geometry (PBE-GGA, Alexandria via LeMat-Bulk).

Lattice parameters (Å, degrees): 3.521 6.160 10.251 90.00 90.00 90.00
Positions (direct):
Sb1 0.000 0.500 0.000
Sb2 0.000 0.000 0.500
O1 0.000 0.867 0.310
O2 0.000 0.133 0.690
O3 0.500 0.288 0.952
O4 0.500 0.788 0.548
O5 0.000 0.633 0.810
O6 0.000 0.367 0.190
O7 0.500 0.212 0.452
O8 0.500 0.712 0.048
Sr1 0.500 0.573 0.319
Sr2 0.500 0.073 0.181
Sr3 0.500 0.427 0.681
Sr4 0.500 0.927 0.819

D(E_F) = 0.149 states/eV per atom

Which one sits at the bottom of the stability order? P does.

--- P ---
# Sr2SbO

Crystalline Sr2SbO at its relaxed geometry (PBE-GGA, Alexandria via LeMat-Bulk).

Lattice parameters (Å, degrees): 6.580 6.656 11.086 98.44 90.00 90.00
Positions (direct):
Sb1 0.660 0.406 0.863
Sb2 0.340 0.594 0.137
Sb3 0.660 0.094 0.637
Sb4 0.340 0.906 0.363
Sr1 0.768 0.559 0.573
Sr2 0.174 0.952 0.667
Sr3 0.826 0.452 0.167
Sr4 0.232 0.441 0.427
Sr5 0.232 0.059 0.073
Sr6 0.768 0.941 0.927
Sr7 0.826 0.048 0.333
Sr8 0.174 0.548 0.833
O1 0.119 0.906 0.875
O2 0.119 0.594 0.625
O3 0.881 0.094 0.125
O4 0.881 0.406 0.375

--- Q ---
# Sr2SbO

Crystalline Sr2SbO at its relaxed geometry (PBE-GGA, Alexandria via LeMat-Bulk).

Lattice parameters (Å, degrees): 4.952 6.886 6.886 103.76 90.00 90.00
Positions (direct):
Sb1 0.500 0.199 0.801
Sb2 0.500 0.801 0.199
Sr1 0.000 0.000 0.500
Sr2 0.500 0.500 0.500
Sr3 0.000 0.500 0.000
Sr4 0.000 0.000 0.000
O1 0.000 0.713 0.713
O2 0.000 0.287 0.287

D(E_F) = 0.865 states/eV per atom

Which one sits at the bottom of the stability order? Q does.